Record 1
# Ga2HICl (GGA-PBE, optimized geometry)
data_Ga2HICl
_chemical_formula_sum 'Ga2 H1 I1 Cl1'
_symmetry_space_group_name_H-M 'P 4/m m m'
_symmetry_Int_Tables_number 123
_symmetry_space_group_name_Hall '-P 4 2'
_cell_length_a 5.539
_cell_length_b 5.539
_cell_length_c 6.639
_cell_angle_alpha 90.00
_cell_angle_beta 90.00
_cell_angle_gamma 90.00
loop_
_atom_site_label
_atom_site_type_symbol
_atom_site_fract_x
_atom_site_fract_y
_atom_site_fract_z
_atom_site_occupancy
Ga1 Ga 0.000 0.500 0.000 1
H1 H 0.000 0.000 0.500 1
I1 I 0.500 0.500 0.500 1
Cl1 Cl 0.500 0.500 0.000 1
# * electronic total energy: -10.2 eV/f.u.
# * crystal system: tetragonal


Record 2
# K2GaHCl6 (GGA-PBE, optimized geometry)
data_K2GaHCl6
_chemical_formula_sum 'K2 Ga1 H1 Cl6'
_symmetry_space_group_name_H-M 'P 1'
_symmetry_Int_Tables_number 1
_symmetry_space_group_name_Hall 'P 1'
_cell_length_a 5.622
_cell_length_b 6.528
_cell_length_c 9.450
_cell_angle_alpha 100.38
_cell_angle_beta 90.00
_cell_angle_gamma 115.49
loop_
_atom_site_label
_atom_site_type_symbol
_atom_site_fract_x
_atom_site_fract_y
_atom_site_fract_z
_atom_site_occupancy
K1 K 0.000 0.000 0.000 1
K2 K 0.435 0.868 0.416 1
Ga1 Ga 0.133 0.434 0.708 1
H1 H 0.724 0.434 0.208 1
Cl1 Cl 0.059 0.734 0.689 1
Cl2 Cl 0.304 0.353 0.508 1
Cl3 Cl 0.384 0.515 0.909 1
Cl4 Cl 0.589 0.164 0.163 1
Cl5 Cl 0.759 0.135 0.728 1
Cl6 Cl 0.860 0.703 0.253 1
# * electronic total energy: -33.6 eV/f.u.
# * crystal system: triclinic


Record 3
# MgGaH4Cl (GGA-PBE, optimized geometry)
data_MgGaH4Cl
_chemical_formula_sum 'Mg4 Ga4 H16 Cl4'
_symmetry_space_group_name_H-M 'C 1 2/m 1'
_symmetry_Int_Tables_number 12
_symmetry_space_group_name_Hall '-C 2y'
_cell_length_a 8.368
_cell_length_b 6.563
_cell_length_c 8.574
_cell_angle_alpha 90.00
_cell_angle_beta 116.03
_cell_angle_gamma 90.00
loop_
_atom_site_label
_atom_site_type_symbol
_atom_site_fract_x
_atom_site_fract_y
_atom_site_fract_z
_atom_site_occupancy
Mg1 Mg 0.044 0.000 0.214 1
Ga1 Ga 0.200 0.500 0.345 1
H1 H 0.085 0.303 0.259 1
H2 H 0.114 0.000 0.666 1
H3 H 0.247 0.500 0.549 1
Cl1 Cl 0.220 0.000 0.058 1
# * electronic total energy: -22.4 eV/f.u.
# * crystal system: monoclinic


Record 4
# GaMoHCl2 (GGA-PBE, optimized geometry)
data_GaMoHCl2
_chemical_formula_sum 'Ga1 Mo1 H1 Cl2'
_symmetry_space_group_name_H-M 'P 4/m m m'
_symmetry_Int_Tables_number 123
_symmetry_space_group_name_Hall '-P 4 2'
_cell_length_a 5.106
_cell_length_b 5.106
_cell_length_c 3.727
_cell_angle_alpha 90.00
_cell_angle_beta 90.00
_cell_angle_gamma 90.00
loop_
_atom_site_label
_atom_site_type_symbol
_atom_site_fract_x
_atom_site_fract_y
_atom_site_fract_z
_atom_site_occupancy
Ga1 Ga 0.000 0.000 0.000 1
Mo1 Mo 0.500 0.500 0.500 1
H1 H 0.500 0.500 0.000 1
Cl1 Cl 0.000 0.500 0.500 1
# * electronic total energy: -21.0 eV/f.u.
# * crystal system: tetragonal